(1)
DFT (PBE) results for crystalline Y2CuAs at its relaxed geometry.

a b c (Å): 4.1142 6.8716 5.7938
angles (deg): 36.60 90.00 90.00
With the nearest neighbours (Å) after each atom.
Element x y z (fractional)
As1 0.5000 0.5000 0.5000  6 Y 2.90-2.91
Cu1 0.0000 0.0000 0.5000  6 Y 2.90-2.91
Y1 0.0000 0.0000 0.0000  2 Cu 2.90, 4 As 2.91
Y2 0.5000 0.5000 0.0000  2 As 2.90, 4 Cu 2.91

## Properties
symmetry: P2/m
size of the total moment: 0.00 μB per atom
energy relative to the elements: -0.69 eV/atom

=====

(2)
DFT (PBE) results for crystalline Y2CuAs at its relaxed geometry.

a b c (Å): 6.0845 6.0845 6.0845
angles (deg): 140.66 140.66 56.85
With the nearest neighbours (Å) after each atom.
Element x y z (fractional)
As1 0.5000 0.5000 0.0000  4 Y 2.90
Cu1 0.7500 0.2500 0.5000  4 Y 2.90
Y1 0.0000 0.0000 0.0000  4 As 2.90
Y2 0.2500 0.7500 0.5000  4 Cu 2.90

## Properties
symmetry: I-4m2
size of the total moment: 0.00 μB per atom
energy relative to the elements: -0.59 eV/atom

=====

(3)
DFT (PBE) results for crystalline Y2CuAs at its relaxed geometry.

a b c (Å): 5.7584 5.7584 4.0823
angles (deg): 90.00 90.00 41.20
With the nearest neighbours (Å) after each atom.
Element x y z (fractional)
Y1 0.0181 0.0181 0.1250  4 As 2.96, 3 Cu 3.00-3.13
Y2 0.7338 0.7338 0.6250  4 Cu 2.95, 3 As 3.04-3.10
As1 0.4516 0.4516 0.6250  2 Cu 2.64
Cu1 0.2966 0.2966 0.1250  2 As 2.64, 2 Y 2.95

## Properties
symmetry: Amm2
size of the total moment: 0.10 μB per atom
energy relative to the elements: -0.83 eV/atom

=====

(4)
DFT (PBE) results for crystalline YCuAs2 at its relaxed geometry.

a b c (Å): 3.9213 3.9213 9.8769
angles (deg): 90.00 90.00 90.00
With the nearest neighbours (Å) after each atom.
Element x y z (fractional)
Y1 0.0000 0.5000 0.7637  8 As 2.96-3.05, 4 Cu 3.26
Y2 0.5000 0.0000 0.2363  8 As 2.96-3.05, 4 Cu 3.26
Cu1 0.5000 0.5000 0.5000  4 As 2.52, 4 Cu 2.77
Cu2 0.0000 0.0000 0.5000  4 As 2.52, 4 Cu 2.77
As1 0.0000 0.0000 0.0000  4 As 2.77, 4 Y 3.05
As2 0.5000 0.5000 0.0000  4 As 2.77, 4 Y 3.05
As3 0.0000 0.5000 0.3404  4 Cu 2.52
As4 0.5000 0.0000 0.6596  4 Cu 2.52

## Properties
symmetry: P4/nmm
size of the total moment: 0.00 μB per atom
energy relative to the elements: -0.82 eV/atom